The following is a DFT calculation (GGA-PBE) of a geometry-optimized TbPm5In4 structure.

Unit cell a=3.598 b=3.598 c=22.755 alpha=90.00 beta=90.00 gamma=90.00
Space group P4/mmm (No. 123)
Unique sites:
1 Tb 0.000 0.000 0.000 [1 per cell]
2 Pm 0.500 0.500 0.115 [2 per cell]
3 Pm 0.500 0.500 0.307 [2 per cell]
4 Pm 0.500 0.500 0.500 [1 per cell]
5 In 0.000 0.000 0.211 [2 per cell]
6 In 0.000 0.000 0.403 [2 per cell]

Output
Formation energy in eV per atom: -0.379



The following is a DFT calculation (GGA-PBE) of a geometry-optimized ZrRe2P structure.

Unit cell a=5.384 b=9.952 c=2.825 alpha=90.00 beta=120.86 gamma=90.00
Space group C2/m (No. 12)
Unique sites:
1 Zr 0.000 0.000 0.000 [2 per cell]
2 Re 0.250 0.250 0.500 [4 per cell]
3 P 0.000 0.500 0.000 [2 per cell]

Output
Formation energy in eV per atom: 0.105



The following is a DFT calculation (GGA-PBE) of a geometry-optimized Li3Ce3AuS8 structure.

Unit cell a=12.949 b=8.028 c=7.708 alpha=90.00 beta=124.02 gamma=90.00
Space group C2/m (No. 12)
Unique sites:
1 Li 0.000 0.000 0.000 [2 per cell]
2 Li 0.250 0.250 0.500 [4 per cell]
3 Ce 0.000 0.500 0.500 [2 per cell]
4 Ce 0.250 0.250 0.000 [4 per cell]
5 Au 0.000 0.000 0.500 [2 per cell]
6 S 0.002 0.262 0.246 [8 per cell]
7 S 0.229 0.000 0.727 [4 per cell]
8 S 0.242 0.000 0.244 [4 per cell]

Output
ΔE_f (raw) in eV/atom: -1.362



The following is a DFT calculation (GGA-PBE) of a geometry-optimized KTl3F structure.

Unit cell a=6.487 b=6.487 c=6.487 alpha=90.00 beta=90.00 gamma=90.00
Space group Pm-3m (No. 221)
Unique sites:
1 K 0.000 0.000 0.000 [1 per cell]
2 Tl 0.000 0.000 0.500 [3 per cell]
3 F 0.500 0.500 0.500 [1 per cell]

Output
Energy above the lowest structure with this stoichiometry in eV/atom: 0.8898
ΔE_f (raw) in eV/atom: 0.259



The following is a DFT calculation (GGA-PBE) of a geometry-optimized Tm2UH structure.

Unit cell a=3.2030 b=3.2030 c=27.5484 alpha=90.00 beta=90.00 gamma=120.00
Space group R-3m (No. 166, hexagonal axes)
Unique sites:
1 Tm 0.0000 0.0000 0.1162 [6 per cell]
2 U 0.0000 0.0000 0.0000 [3 per cell]
3 H 0.0000 0.0000 0.5000 [3 per cell]

Output
Total DFT energy (no corrections) in eV/atom: -5.675



The following is a DFT calculation (GGA-PBE) of a geometry-optimized HfGaPd3 structure.

Unit cell a=4.921 b=4.921 c=4.921 alpha=90.00 beta=90.00 gamma=90.00
Space group Pm-3m (No. 221)
Unique sites:
1 Hf 0.000 0.000 0.000 [1 per cell]
2 Ga 0.500 0.500 0.500 [1 per cell]
3 Pd 0.000 0.000 0.500 [3 per cell]

Output
Energy above the lowest structure with this stoichiometry in eV/atom: 1.1654
Formation energy in eV per atom: 0.533



The following is a DFT calculation (GGA-PBE) of a geometry-optimized V4GeAs3 structure.

Unit cell a=4.888 b=8.238 c=7.681 alpha=90.00 beta=90.00 gamma=90.00
Space group Pmmn (No. 59, origin choice 2)
Unique sites:
1 V 0.250 0.003 0.163 [4 per cell]
2 V 0.250 0.250 0.662 [2 per cell]
3 V 0.250 0.750 0.673 [2 per cell]
4 Ge 0.250 0.750 0.346 [2 per cell]
5 As 0.250 0.006 0.841 [4 per cell]
6 As 0.250 0.250 0.343 [2 per cell]

Output
Formation energy in eV per atom: 0.007



The following is a DFT calculation (GGA-PBE) of a geometry-optimized Y2MgCdF structure.

Unit cell a=5.934 b=5.934 c=4.430 alpha=90.00 beta=90.00 gamma=90.00
Space group P4/mmm (No. 123)
Unique sites:
1 Y 0.000 0.500 0.000 [2 per cell]
2 Mg 0.000 0.000 0.500 [1 per cell]
3 Cd 0.500 0.500 0.000 [1 per cell]
4 F 0.500 0.500 0.500 [1 per cell]

Output
ΔE_f (raw) in eV/atom: -0.012



The following is a DFT calculation (GGA-PBE) of a geometry-optimized Pm2NdAlN structure.

Unit cell a=4.952 b=4.952 c=4.998 alpha=90.00 beta=90.00 gamma=90.00
Space group P4/mmm (No. 123)
Unique sites:
1 Pm 0.000 0.500 0.000 [2 per cell]
2 Nd 0.000 0.000 0.500 [1 per cell]
3 Al 0.500 0.500 0.500 [1 per cell]
4 N 0.000 0.000 0.000 [1 per cell]

Output
ΔE_f (raw) in eV/atom: -0.777



The following is a DFT calculation (GGA-PBE) of a geometry-optimized Y2Al4ZnCu3 structure.

Unit cell a=4.152 b=4.152 c=10.267 alpha=90.00 beta=90.00 gamma=90.00
Space group P-4m2 (No. 115)
Unique sites:
1 Y 0.000 0.500 0.250 [2 per cell]
2 Al 0.000 0.000 0.000 [1 per cell]
3 Al 0.000 0.500 0.638 [2 per cell]
4 Al 0.500 0.500 0.000 [1 per cell]
5 Zn 0.000 0.000 0.500 [1 per cell]
6 Cu 0.000 0.500 0.869 [2 per cell]
7 Cu 0.500 0.500 0.500 [1 per cell]

Output
Formation energy in eV per atom: -0.417



The following is a DFT calculation (GGA-PBE) of a geometry-optimized Ho4TlZn structure.

Unit cell a=3.573 b=3.573 c=12.741 alpha=90.00 beta=90.00 gamma=90.00
Space group P4/mmm (No. 123)
Unique sites:
1 Ho 0.000 0.000 0.137 [2 per cell]
2 Ho 0.500 0.500 0.333 [2 per cell]
3 Tl 0.000 0.000 0.500 [1 per cell]
4 Zn 0.500 0.500 0.000 [1 per cell]

Output
Energy above the lowest structure with this stoichiometry in eV/atom: 0.0000
Formation energy in eV per atom: -0.219